# 1
{
  "formula": "Cu5MoCl12",
  "functional": "PBE",
  "state": "optimized geometry",
  "lattice_angstrom": [[6.057, 0.000, 0.000], [-1.268, 6.679, 0.000], [-1.479, -0.697, 12.760]],
  "species": ["Cu", "Cu", "Cu", "Cu", "Cu", "Mo", "Cl", "Cl", "Cl", "Cl", "Cl", "Cl", "Cl", "Cl", "Cl", "Cl", "Cl", "Cl"],
  "frac_coords": [[0.000, 0.000, 0.000], [0.123, 0.690, 0.483], [0.337, 0.670, 0.999], [0.663, 0.330, 0.001], [0.877, 0.310, 0.517], [0.500, 0.500, 0.500], [0.044, 0.743, 0.891], [0.210, 0.212, 0.530], [0.262, 0.580, 0.347], [0.298, 0.931, 0.107], [0.361, 0.708, 0.627], [0.367, 0.402, 0.894], [0.633, 0.598, 0.106], [0.639, 0.292, 0.373], [0.702, 0.069, 0.893], [0.738, 0.420, 0.653], [0.790, 0.788, 0.470], [0.956, 0.257, 0.109]],
  "dos_at_fermi_per_ev_atom": 0.321,
  "total_energy_ev_per_atom": -3.56,
  "rho_g_cm3": 2.70,
  "raw_formation_energy_ev_per_fu": -10.63
}

=====

# 2
{
  "formula": "TlVBr6",
  "functional": "PBE",
  "state": "optimized geometry",
  "lattice_angstrom": [[3.561, -5.777, 0.000], [3.561, 5.777, 0.000], [-2.084, 0.000, 6.901]],
  "species": ["Tl", "V", "Br", "Br", "Br", "Br", "Br", "Br"],
  "frac_coords": [[0.000, 0.000, 0.000], [0.500, 0.500, 0.500], [0.160, 0.466, 0.284], [0.258, 0.258, 0.678], [0.466, 0.160, 0.284], [0.534, 0.840, 0.716], [0.742, 0.742, 0.322], [0.840, 0.534, 0.716]],
  "dos_at_fermi_per_ev_atom": 0.220,
  "relative_energy_mev_per_atom": 0,
  "total_energy_ev_per_atom": -3.34,
  "rho_g_cm3": 4.30,
  "raw_formation_energy_ev_per_fu": -5.21
}

=====

# 3
{
  "formula": "TaCo2Rh",
  "functional": "PBE",
  "state": "optimized geometry",
  "lattice_angstrom": [[4.378, -1.405, 0.000], [4.378, 1.405, 0.000], [-0.972, 0.000, 4.438]],
  "species": ["Ta", "Co", "Co", "Rh"],
  "frac_coords": [[0.000, 0.000, 0.000], [0.248, 0.248, 0.743], [0.752, 0.752, 0.257], [0.500, 0.500, 0.500]],
  "dos_at_fermi_per_ev_atom": 1.094,
  "e_form_ev_per_atom": -0.06,
  "relative_energy_mev_per_atom": 279,
  "total_energy_ev_per_atom": -8.41,
  "rho_g_cm3": 12.22
}

=====

# 4
{
  "formula": "KW2Br",
  "functional": "PBE",
  "state": "optimized geometry",
  "lattice_angstrom": [[1.529, -2.484, 0.000], [1.529, 2.484, 0.000], [0.000, 0.000, 10.852]],
  "species": ["K", "W", "W", "Br"],
  "frac_coords": [[0.000, 0.000, 0.000], [0.500, 0.500, 0.288], [0.500, 0.500, 0.712], [0.000, 0.000, 0.500]],
  "dos_at_fermi_per_ev_atom": 0.767,
  "relative_energy_mev_per_atom": 1134,
  "total_energy_ev_per_atom": -5.64,
  "rho_g_cm3": 9.81,
  "raw_formation_energy_ev_per_fu": 6.13
}

=====

# 5
{
  "formula": "TaAl3Te",
  "functional": "PBE",
  "state": "optimized geometry",
  "lattice_angstrom": [[5.128, 0.000, 0.000], [0.000, 5.128, 0.000], [0.000, 0.000, 5.128]],
  "species": ["Ta", "Al", "Al", "Al", "Te"],
  "frac_coords": [[0.000, 0.000, 0.000], [0.000, 0.000, 0.500], [0.000, 0.500, 0.000], [0.500, 0.000, 0.000], [0.500, 0.500, 0.500]],
  "dos_at_fermi_per_ev_atom": 1.275,
  "relative_energy_mev_per_atom": 0,
  "total_energy_ev_per_atom": -4.32,
  "rho_g_cm3": 4.80,
  "raw_formation_energy_ev_per_fu": 4.60
}

=====

# 6
{
  "formula": "BaCa2Cl",
  "functional": "PBE",
  "state": "optimized geometry",
  "lattice_angstrom": [[1.991, 1.149, 10.914], [-1.991, 1.149, 10.914], [0.000, -2.299, 10.914]],
  "species": ["Ba", "Ca", "Ca", "Cl"],
  "frac_coords": [[0.000, 0.000, 0.000], [0.230, 0.230, 0.230], [0.770, 0.770, 0.770], [0.500, 0.500, 0.500]],
  "dos_at_fermi_per_ev_atom": 0.869,
  "relative_energy_mev_per_atom": 5,
  "total_energy_ev_per_atom": -2.70,
  "rho_g_cm3": 2.80,
  "raw_formation_energy_ev_per_fu": -3.04
}

=====

# 7
{
  "formula": "KTb2Ce2O7",
  "functional": "PBE",
  "state": "optimized geometry",
  "lattice_angstrom": [[10.114, -2.307, 0.000], [10.114, 2.307, 0.000], [-1.052, 0.000, 4.492]],
  "species": ["K", "Tb", "Tb", "Ce", "Ce", "O", "O", "O", "O", "O", "O", "O"],
  "frac_coords": [[0.000, 0.000, 0.000], [0.248, 0.248, 0.745], [0.748, 0.748, 0.245], [0.388, 0.388, 0.384], [0.609, 0.609, 0.606], [0.132, 0.132, 0.629], [0.262, 0.262, 0.259], [0.364, 0.364, 0.860], [0.498, 0.498, 0.492], [0.632, 0.632, 0.129], [0.734, 0.734, 0.731], [0.864, 0.864, 0.360]],
  "dos_at_fermi_per_ev_atom": 0.467,
  "total_energy_ev_per_atom": -7.84,
  "rho_g_cm3": 5.93,
  "raw_formation_energy_ev_per_fu": -37.13
}

=====

# 8
{
  "formula": "Y2NiAu",
  "functional": "PBE",
  "state": "optimized geometry",
  "lattice_angstrom": [[-2.085, 2.085, 4.948], [2.085, -2.085, 4.948], [2.085, 2.085, -4.948]],
  "species": ["Y", "Y", "Ni", "Au"],
  "frac_coords": [[0.000, 0.000, 0.000], [0.750, 0.250, 0.500], [0.500, 0.500, 0.000], [0.250, 0.750, 0.500]],
  "dos_at_fermi_per_ev_atom": 0.865,
  "e_form_ev_per_atom": -0.35,
  "total_energy_ev_per_atom": -5.85,
  "rho_g_cm3": 8.37
}